Density functional theory data (PBE) for a relaxed structure of Ag12I3Cl5.

Unit cell a=14.3351 b=14.3351 c=14.3351 alpha=109.47 beta=109.47 gamma=109.47
Positions (direct):
Ag  0.0660  0.2220  0.1456
Ag  0.0660  0.3440  0.9204
Ag  0.0764  0.7220  0.6560
Ag  0.0764  0.8544  0.4204
Ag  0.0796  0.6456  0.4236
Ag  0.0796  0.9340  0.6560
Ag  0.1456  0.0660  0.2220
Ag  0.1456  0.5796  0.9236
Ag  0.1560  0.2220  0.5764
Ag  0.1560  0.4340  0.5796
Ag  0.2220  0.1456  0.0660
Ag  0.2220  0.5764  0.1560
Ag  0.2780  0.3440  0.9236
Ag  0.2780  0.4340  0.3544
Ag  0.3440  0.9204  0.0660
Ag  0.3440  0.9236  0.2780
Ag  0.3544  0.2780  0.4340
Ag  0.3544  0.5764  0.9204
Ag  0.4204  0.0764  0.8544
Ag  0.4204  0.8440  0.5660
Ag  0.4236  0.0796  0.6456
Ag  0.4236  0.8440  0.7780
Ag  0.4340  0.3544  0.2780
Ag  0.4340  0.5796  0.1560
Ag  0.5660  0.4204  0.8440
Ag  0.5660  0.6456  0.7220
Ag  0.5764  0.1560  0.2220
Ag  0.5764  0.9204  0.3544
Ag  0.5796  0.1560  0.4340
Ag  0.5796  0.9236  0.1456
Ag  0.6456  0.4236  0.0796
Ag  0.6456  0.7220  0.5660
Ag  0.6560  0.0764  0.7220
Ag  0.6560  0.0796  0.9340
Ag  0.7220  0.5660  0.6456
Ag  0.7220  0.6560  0.0764
Ag  0.7780  0.4236  0.8440
Ag  0.7780  0.8544  0.9340
Ag  0.8440  0.5660  0.4204
Ag  0.8440  0.7780  0.4236
Ag  0.8544  0.4204  0.0764
Ag  0.8544  0.9340  0.7780
Ag  0.9204  0.0660  0.3440
Ag  0.9204  0.3544  0.5764
Ag  0.9236  0.1456  0.5796
Ag  0.9236  0.2780  0.3440
Ag  0.9340  0.6560  0.0796
Ag  0.9340  0.7780  0.8544
I  0.1250  0.2500  0.3750
I  0.1250  0.3750  0.7500
I  0.2500  0.3750  0.1250
I  0.2500  0.8750  0.6250
I  0.3750  0.1250  0.2500
I  0.3750  0.7500  0.1250
I  0.6250  0.2500  0.8750
I  0.6250  0.8750  0.7500
I  0.7500  0.1250  0.3750
I  0.7500  0.6250  0.8750
I  0.8750  0.6250  0.2500
I  0.8750  0.7500  0.6250
Cl  0.0000  0.0000  0.0000
Cl  0.0000  0.0000  0.5000
Cl  0.0000  0.5000  0.0000
Cl  0.0000  0.5000  0.5000
Cl  0.1250  0.7500  0.8750
Cl  0.1250  0.8750  0.2500
Cl  0.2500  0.1250  0.8750
Cl  0.2500  0.6250  0.3750
Cl  0.3750  0.2500  0.6250
Cl  0.3750  0.6250  0.7500
Cl  0.5000  0.0000  0.0000
Cl  0.5000  0.0000  0.5000
Cl  0.5000  0.5000  0.0000
Cl  0.5000  0.5000  0.5000
Cl  0.6250  0.3750  0.2500
Cl  0.6250  0.7500  0.3750
Cl  0.7500  0.3750  0.6250
Cl  0.7500  0.8750  0.1250
Cl  0.8750  0.1250  0.7500
Cl  0.8750  0.2500  0.1250

Calculated values
The space group is Ia-3d (230). Its magnetic moment is 0.00 μB per formula unit. The total energy is -2.3875 eV/atom. The calculation puts the uncorrected formation energy at 0.017 eV/atom.

Density functional theory data (PBE) for a relaxed structure of La2Ce4Si3H2.

Unit cell a=12.5783 b=12.5783 c=12.5783 alpha=159.17 beta=159.17 gamma=29.62
Positions (direct):
La  0.2024  0.2024  0.0000
La  0.7976  0.7976  0.0000
Ce  0.0782  0.5782  0.5000
Ce  0.4218  0.9218  0.5000
Ce  0.5782  0.0782  0.5000
Ce  0.9218  0.4218  0.5000
Si  0.3335  0.3335  0.0000
Si  0.5000  0.5000  0.0000
Si  0.6665  0.6665  0.0000
H  0.1032  0.1032  0.0000
H  0.8968  0.8968  0.0000

Calculated values
The space group is I4/mmm (139). Its magnetic moment is 1.73 μB per formula unit. The total energy is -5.6341 eV/atom.

Density functional theory data (PBE) for a relaxed structure of Ta2B6Mo.

Unit cell a=5.3335 b=5.3335 c=3.3383 alpha=90.00 beta=90.00 gamma=120.00
Positions (direct):
Ta  0.3333  0.6667  0.0000
Ta  0.6667  0.3333  0.0000
B  0.0000  0.3330  0.5000
B  0.0000  0.6670  0.5000
B  0.3330  0.0000  0.5000
B  0.3330  0.3330  0.5000
B  0.6670  0.0000  0.5000
B  0.6670  0.6670  0.5000
Mo  0.0000  0.0000  0.0000

Calculated values
The space group is P6/mmm (191). Its magnetic moment is 0.00 μB per formula unit. The total energy is -8.8158 eV/atom.

Density functional theory data (PBE) for a relaxed structure of Pm5Bi12I3.

Unit cell a=16.7367 b=16.7367 c=16.7367 alpha=109.47 beta=109.47 gamma=109.47
Positions (direct):
Pm  0.0000  0.0000  0.0000
Pm  0.0000  0.0000  0.5000
Pm  0.0000  0.5000  0.0000
Pm  0.0000  0.5000  0.5000
Pm  0.1250  0.7500  0.8750
Pm  0.1250  0.8750  0.2500
Pm  0.2500  0.1250  0.8750
Pm  0.2500  0.6250  0.3750
Pm  0.3750  0.2500  0.6250
Pm  0.3750  0.6250  0.7500
Pm  0.5000  0.0000  0.0000
Pm  0.5000  0.0000  0.5000
Pm  0.5000  0.5000  0.0000
Pm  0.5000  0.5000  0.5000
Pm  0.6250  0.3750  0.2500
Pm  0.6250  0.7500  0.3750
Pm  0.7500  0.3750  0.6250
Pm  0.7500  0.8750  0.1250
Pm  0.8750  0.1250  0.7500
Pm  0.8750  0.2500  0.1250
Bi  0.0326  0.2149  0.0750
Bi  0.0326  0.3177  0.9575
Bi  0.0425  0.5750  0.3601
Bi  0.0425  0.9674  0.6823
Bi  0.0750  0.0326  0.2149
Bi  0.0750  0.5425  0.8601
Bi  0.1399  0.7149  0.6823
Bi  0.1399  0.9250  0.4575
Bi  0.1823  0.2149  0.6399
Bi  0.1823  0.4674  0.5425
Bi  0.2149  0.0750  0.0326
Bi  0.2149  0.6399  0.1823
Bi  0.2851  0.3177  0.8601
Bi  0.2851  0.4674  0.4250
Bi  0.3177  0.8601  0.2851
Bi  0.3177  0.9575  0.0326
Bi  0.3601  0.0425  0.5750
Bi  0.3601  0.8177  0.7851
Bi  0.4250  0.2851  0.4674
Bi  0.4250  0.6399  0.9575
Bi  0.4575  0.1399  0.9250
Bi  0.4575  0.8177  0.5326
Bi  0.4674  0.4250  0.2851
Bi  0.4674  0.5425  0.1823
Bi  0.5326  0.4575  0.8177
Bi  0.5326  0.5750  0.7149
Bi  0.5425  0.1823  0.4674
Bi  0.5425  0.8601  0.0750
Bi  0.5750  0.3601  0.0425
Bi  0.5750  0.7149  0.5326
Bi  0.6399  0.1823  0.2149
Bi  0.6399  0.9575  0.4250
Bi  0.6823  0.0425  0.9674
Bi  0.6823  0.1399  0.7149
Bi  0.7149  0.5326  0.5750
Bi  0.7149  0.6823  0.1399
Bi  0.7851  0.3601  0.8177
Bi  0.7851  0.9250  0.9674
Bi  0.8177  0.5326  0.4575
Bi  0.8177  0.7851  0.3601
Bi  0.8601  0.0750  0.5425
Bi  0.8601  0.2851  0.3177
Bi  0.9250  0.4575  0.1399
Bi  0.9250  0.9674  0.7851
Bi  0.9575  0.0326  0.3177
Bi  0.9575  0.4250  0.6399
Bi  0.9674  0.6823  0.0425
Bi  0.9674  0.7851  0.9250
I  0.1250  0.2500  0.3750
I  0.1250  0.3750  0.7500
I  0.2500  0.3750  0.1250
I  0.2500  0.8750  0.6250
I  0.3750  0.1250  0.2500
I  0.3750  0.7500  0.1250
I  0.6250  0.2500  0.8750
I  0.6250  0.8750  0.7500
I  0.7500  0.1250  0.3750
I  0.7500  0.6250  0.8750
I  0.8750  0.6250  0.2500
I  0.8750  0.7500  0.6250

Calculated values
The space group is Ia-3d (230). Its magnetic moment is 0.00 μB per formula unit. The total energy is -3.6930 eV/atom. The calculation puts the uncorrected formation energy at 0.056 eV/atom.

Density functional theory data (PBE) for a relaxed structure of HfAgIrSe2.

Unit cell a=4.8969 b=4.8969 c=5.0497 alpha=90.00 beta=90.00 gamma=90.00
Positions (direct):
Hf  0.0000  0.0000  0.0000
Ag  0.5000  0.5000  0.0000
Ir  0.0000  0.0000  0.5000
Se  0.0000  0.5000  0.5000
Se  0.5000  0.0000  0.5000

Calculated values
The space group is P4/mmm (123). Its magnetic moment is 0.00 μB per formula unit. The total energy is -5.2176 eV/atom. The calculation puts the uncorrected formation energy at 0.509 eV/atom.

Density functional theory data (PBE) for a relaxed structure of NaSn2HPb.

Unit cell a=4.8533 b=4.8533 c=4.8704 alpha=90.00 beta=90.00 gamma=90.00
Positions (direct):
Na  0.0000  0.0000  0.0000
Sn  0.0000  0.5000  0.5000
Sn  0.5000  0.0000  0.5000
H  0.0000  0.0000  0.5000
Pb  0.5000  0.5000  0.0000

Calculated values
The space group is P4/mmm (123). Its magnetic moment is 0.00 μB per formula unit. The total energy is -3.2183 eV/atom.

Density functional theory data (PBE) for a relaxed structure of KZn2BiF8.

Unit cell a=8.8602 b=8.8602 c=8.8602 alpha=35.02 beta=35.02 gamma=35.02
Positions (direct):
K  0.0000  0.0000  0.0000
Zn  0.2585  0.2585  0.2585
Zn  0.7415  0.7415  0.7415
Bi  0.5000  0.5000  0.5000
F  0.1070  0.4456  0.7743
F  0.2257  0.5544  0.8930
F  0.3328  0.3328  0.3328
F  0.4456  0.7743  0.1070
F  0.5544  0.8930  0.2257
F  0.6672  0.6672  0.6672
F  0.7743  0.1070  0.4456
F  0.8930  0.2257  0.5544

Calculated values
The space group is R32 (155). Its magnetic moment is 0.00 μB per formula unit. The total energy is -4.2256 eV/atom. The calculation puts the uncorrected formation energy at -2.351 eV/atom.

Density functional theory data (PBE) for a relaxed structure of KSb2Te4Au.

Unit cell a=7.5296 b=7.5296 c=16.5914 alpha=90.00 beta=90.00 gamma=144.57
Positions (direct):
K  0.1233  0.8767  0.7500
K  0.8767  0.1233  0.2500
Sb  0.3658  0.6342  0.5593
Sb  0.3658  0.6342  0.9407
Sb  0.6342  0.3658  0.0593
Sb  0.6342  0.3658  0.4407
Te  0.0000  0.0000  0.0000
Te  0.0000  0.0000  0.5000
Te  0.2707  0.7293  0.1017
Te  0.2707  0.7293  0.3983
Te  0.4339  0.5661  0.7500
Te  0.5661  0.4339  0.2500
Te  0.7293  0.2707  0.6017
Te  0.7293  0.2707  0.8983
Au  0.1587  0.8413  0.2500
Au  0.8413  0.1587  0.7500

Calculated values
The space group is Cmcm (63). Its magnetic moment is 0.00 μB per formula unit. The total energy is -3.4103 eV/atom. The calculation puts the uncorrected formation energy at -0.262 eV/atom.

Density functional theory data (PBE) for a relaxed structure of Li2Cu2I5.

Unit cell a=4.2441 b=7.0607 c=11.0982 alpha=108.00 beta=95.76 gamma=92.26
Positions (direct):
Li  0.1327  0.2229  0.2748
Li  0.8673  0.7771  0.7252
Cu  0.4301  0.3758  0.7093
Cu  0.5699  0.6242  0.2907
I  0.0899  0.8392  0.3009
I  0.4051  0.7247  0.8706
I  0.5000  0.5000  0.5000
I  0.5949  0.2753  0.1294
I  0.9101  0.1608  0.6991

Calculated values
As for the relative energy among the computed polymorphs: 0 meV per atom. The space group is P-1 (2). Its magnetic moment is 0.00 μB per formula unit. The total energy is -2.7554 eV/atom. The calculation puts the uncorrected formation energy at -0.559 eV/atom.

Density functional theory data (PBE) for a relaxed structure of MnTcNiRu.

Unit cell a=5.9718 b=5.9718 c=5.9718 alpha=90.00 beta=90.00 gamma=90.00
Positions (direct):
Mn  0.0000  0.0000  0.0000
Mn  0.0000  0.5000  0.5000
Mn  0.5000  0.0000  0.5000
Mn  0.5000  0.5000  0.0000
Tc  0.2500  0.2500  0.7500
Tc  0.2500  0.7500  0.2500
Tc  0.7500  0.2500  0.2500
Tc  0.7500  0.7500  0.7500
Ni  0.2500  0.2500  0.2500
Ni  0.2500  0.7500  0.7500
Ni  0.7500  0.2500  0.7500
Ni  0.7500  0.7500  0.2500
Ru  0.0000  0.0000  0.5000
Ru  0.0000  0.5000  0.0000
Ru  0.5000  0.0000  0.0000
Ru  0.5000  0.5000  0.5000

Calculated values
The space group is F-43m (216). Its magnetic moment is 3.09 μB per formula unit. The total energy is -8.4465 eV/atom.

Density functional theory data (PBE) for a relaxed structure of PaCu2Cl8.

Unit cell a=7.6467 b=7.6467 c=6.9844 alpha=90.69 beta=90.69 gamma=61.42
Positions (direct):
Pa  0.0000  0.0000  0.0000
Cu  0.2133  0.2133  0.7587
Cu  0.7867  0.7867  0.2413
Cl  0.1099  0.6532  0.1568
Cl  0.1121  0.1121  0.2929
Cl  0.3468  0.8901  0.8432
Cl  0.3602  0.3602  0.6449
Cl  0.6398  0.6398  0.3551
Cl  0.6532  0.1099  0.1568
Cl  0.8879  0.8879  0.7071
Cl  0.8901  0.3468  0.8432

Calculated values
The space group is C2/m (12). Its magnetic moment is 1.02 μB per formula unit. The total energy is -4.1115 eV/atom. The calculation puts the uncorrected formation energy at -1.160 eV/atom.

What is the magnetic moment in the ninth record? 0.00 μB per formula unit

Which of these has the highest magnetic moment? MnTcNiRu

Which of these has the highest magnetic moment? MnTcNiRu